# Zr2ReGe2 | Alexandria | GGA-PBEsol | optimized geometry
data_Zr2ReGe2
_chemical_formula_sum 'Zr4 Re2 Ge4'
_cell_length_a 6.6326
_cell_length_b 6.6326
_cell_length_c 3.8869
_cell_angle_alpha 90.00
_cell_angle_beta 90.00
_cell_angle_gamma 90.00
_space_group_name_H-M_alt 'P 1'
_space_group_IT_number 1
_space_group_name_Hall 'P 1'
loop_
_atom_site_label
_atom_site_type_symbol
_atom_site_fract_x
_atom_site_fract_y
_atom_site_fract_z
_atom_site_occupancy
Zr1 Zr 0.1714 0.3286 0.0000 1
Zr2 Zr 0.3286 0.8286 0.0000 1
Zr3 Zr 0.6714 0.1714 0.0000 1
Zr4 Zr 0.8286 0.6714 0.0000 1
Re1 Re 0.0000 0.0000 0.5000 1
Re2 Re 0.5000 0.5000 0.5000 1
Ge1 Ge 0.1345 0.6345 0.5000 1
Ge2 Ge 0.3655 0.1345 0.5000 1
Ge3 Ge 0.6345 0.8655 0.5000 1
Ge4 Ge 0.8655 0.3655 0.5000 1
# Energy of formation from the pure elements in eV/f.u.: -3.34
# N(E_F) in states/eV per cell: 4.86
# Space group: P4/mbm (127)



# GeRh2 | Alexandria | GGA-PBEsol | optimized geometry
data_GeRh2
_chemical_formula_sum 'Ge4 Rh8'
_cell_length_a 5.4086
_cell_length_b 4.0002
_cell_length_c 7.5620
_cell_angle_alpha 90.00
_cell_angle_beta 90.00
_cell_angle_gamma 90.00
_space_group_name_H-M_alt 'P 1'
_space_group_IT_number 1
_space_group_name_Hall 'P 1'
loop_
_atom_site_label
_atom_site_type_symbol
_atom_site_fract_x
_atom_site_fract_y
_atom_site_fract_z
_atom_site_occupancy
Ge1 Ge 0.2104 0.2500 0.1039 1
Ge2 Ge 0.2896 0.7500 0.6039 1
Ge3 Ge 0.7104 0.2500 0.3961 1
Ge4 Ge 0.7896 0.7500 0.8961 1
Rh1 Rh 0.0299 0.2500 0.7930 1
Rh2 Rh 0.1644 0.2500 0.4307 1
Rh3 Rh 0.3356 0.7500 0.9307 1
Rh4 Rh 0.4701 0.7500 0.2930 1
Rh5 Rh 0.5299 0.2500 0.7070 1
Rh6 Rh 0.6644 0.2500 0.0693 1
Rh7 Rh 0.8356 0.7500 0.5693 1
Rh8 Rh 0.9701 0.7500 0.2070 1
# Energy of formation from the pure elements in eV/f.u.: -1.46
# N(E_F) in states/eV per cell: 9.37
# Space group: Pnma (62)



# GeRh2S | Alexandria | GGA-PBEsol | optimized geometry
data_GeRh2S
_chemical_formula_sum 'Ge1 Rh2 S1'
_cell_length_a 4.2610
_cell_length_b 4.2610
_cell_length_c 4.2610
_cell_angle_alpha 60.00
_cell_angle_beta 60.00
_cell_angle_gamma 60.00
_space_group_name_H-M_alt 'P 1'
_space_group_IT_number 1
_space_group_name_Hall 'P 1'
loop_
_atom_site_label
_atom_site_type_symbol
_atom_site_fract_x
_atom_site_fract_y
_atom_site_fract_z
_atom_site_occupancy
Ge1 Ge 0.0000 0.0000 0.0000 1
Rh1 Rh 0.2500 0.2500 0.2500 1
Rh2 Rh 0.7500 0.7500 0.7500 1
S1 S 0.5000 0.5000 0.5000 1
# Formation energy from raw total energies in eV per atom: -0.096
# N(E_F) in states/eV per cell: 5.25
# Space group: Fm-3m (225)



# Ge2SbRh2 | Alexandria | GGA-PBEsol | optimized geometry
data_Ge2SbRh2
_chemical_formula_sum 'Ge2 Sb1 Rh2'
_cell_length_a 6.5794
_cell_length_b 6.5794
_cell_length_c 6.5794
_cell_angle_alpha 146.75
_cell_angle_beta 146.75
_cell_angle_gamma 47.73
_space_group_name_H-M_alt 'P 1'
_space_group_IT_number 1
_space_group_name_Hall 'P 1'
loop_
_atom_site_label
_atom_site_type_symbol
_atom_site_fract_x
_atom_site_fract_y
_atom_site_fract_z
_atom_site_occupancy
Ge1 Ge 0.2500 0.7500 0.5000 1
Ge2 Ge 0.7500 0.2500 0.5000 1
Sb1 Sb 0.0000 0.0000 0.0000 1
Rh1 Rh 0.3814 0.3814 0.0000 1
Rh2 Rh 0.6186 0.6186 0.0000 1
# Formation energy from raw total energies in eV per atom: -0.244
# N(E_F) in states/eV per cell: 2.93
# Space group: I4/mmm (139)



# Sc4Ge6Rh7 | Alexandria | GGA-PBEsol | optimized geometry
data_Sc4Ge6Rh7
_chemical_formula_sum 'Sc4 Ge6 Rh7'
_cell_length_a 6.9838
_cell_length_b 6.9838
_cell_length_c 6.9838
_cell_angle_alpha 109.47
_cell_angle_beta 109.47
_cell_angle_gamma 109.47
_space_group_name_H-M_alt 'P 1'
_space_group_IT_number 1
_space_group_name_Hall 'P 1'
loop_
_atom_site_label
_atom_site_type_symbol
_atom_site_fract_x
_atom_site_fract_y
_atom_site_fract_z
_atom_site_occupancy
Sc1 Sc 0.0000 0.0000 0.5000 1
Sc2 Sc 0.0000 0.5000 0.0000 1
Sc3 Sc 0.5000 0.0000 0.0000 1
Sc4 Sc 0.5000 0.5000 0.5000 1
Ge1 Ge 0.0000 0.3135 0.3135 1
Ge2 Ge 0.0000 0.6865 0.6865 1
Ge3 Ge 0.3135 0.0000 0.3135 1
Ge4 Ge 0.3135 0.3135 0.0000 1
Ge5 Ge 0.6865 0.0000 0.6865 1
Ge6 Ge 0.6865 0.6865 0.0000 1
Rh1 Rh 0.0000 0.0000 0.0000 1
Rh2 Rh 0.2500 0.5000 0.7500 1
Rh3 Rh 0.2500 0.7500 0.5000 1
Rh4 Rh 0.5000 0.2500 0.7500 1
Rh5 Rh 0.5000 0.7500 0.2500 1
Rh6 Rh 0.7500 0.2500 0.5000 1
Rh7 Rh 0.7500 0.5000 0.2500 1
# Energy of formation from the pure elements in eV/f.u.: -16.47
# N(E_F) in states/eV per cell: 8.63
# Space group: Im-3m (229)



# ScGeRh | Alexandria | GGA-PBEsol | optimized geometry
data_ScGeRh
_chemical_formula_sum 'Sc4 Ge4 Rh4'
_cell_length_a 6.4622
_cell_length_b 4.1003
_cell_length_c 7.3610
_cell_angle_alpha 90.00
_cell_angle_beta 90.00
_cell_angle_gamma 90.00
_space_group_name_H-M_alt 'P 1'
_space_group_IT_number 1
_space_group_name_Hall 'P 1'
loop_
_atom_site_label
_atom_site_type_symbol
_atom_site_fract_x
_atom_site_fract_y
_atom_site_fract_z
_atom_site_occupancy
Sc1 Sc 0.0132 0.2500 0.1948 1
Sc2 Sc 0.4868 0.7500 0.6948 1
Sc3 Sc 0.5132 0.2500 0.3052 1
Sc4 Sc 0.9868 0.7500 0.8052 1
Ge1 Ge 0.2237 0.7500 0.3854 1
Ge2 Ge 0.2763 0.2500 0.8854 1
Ge3 Ge 0.7237 0.7500 0.1146 1
Ge4 Ge 0.7763 0.2500 0.6146 1
Rh1 Rh 0.1565 0.2500 0.5616 1
Rh2 Rh 0.3435 0.7500 0.0616 1
Rh3 Rh 0.6565 0.2500 0.9384 1
Rh4 Rh 0.8435 0.7500 0.4384 1
# Energy of formation from the pure elements in eV/f.u.: -3.08
# N(E_F) in states/eV per cell: 4.72
# Space group: Pnma (62)



# ScGeRh | Alexandria | GGA-PBEsol | optimized geometry
data_ScGeRh
_chemical_formula_sum 'Sc3 Ge3 Rh3'
_cell_length_a 6.6201
_cell_length_b 6.6201
_cell_length_c 3.7987
_cell_angle_alpha 90.00
_cell_angle_beta 90.00
_cell_angle_gamma 120.00
_space_group_name_H-M_alt 'P 1'
_space_group_IT_number 1
_space_group_name_Hall 'P 1'
loop_
_atom_site_label
_atom_site_type_symbol
_atom_site_fract_x
_atom_site_fract_y
_atom_site_fract_z
_atom_site_occupancy
Sc1 Sc 0.0000 0.5812 0.0000 1
Sc2 Sc 0.4188 0.4188 0.0000 1
Sc3 Sc 0.5812 0.0000 0.0000 1
Ge1 Ge 0.0000 0.0000 0.0000 1
Ge2 Ge 0.3333 0.6667 0.5000 1
Ge3 Ge 0.6667 0.3333 0.5000 1
Rh1 Rh 0.0000 0.2445 0.5000 1
Rh2 Rh 0.2445 0.0000 0.5000 1
Rh3 Rh 0.7555 0.7555 0.5000 1
# Energy of formation from the pure elements in eV/f.u.: -3.10
# N(E_F) in states/eV per cell: 3.46
# Space group: P-62m (189)



# Sm3Ge13Rh4 | Alexandria | GGA-PBEsol | optimized geometry
data_Sm3Ge13Rh4
_chemical_formula_sum 'Sm6 Ge26 Rh8'
_cell_length_a 8.9441
_cell_length_b 8.9441
_cell_length_c 8.9441
_cell_angle_alpha 90.00
_cell_angle_beta 90.00
_cell_angle_gamma 90.00
_space_group_name_H-M_alt 'P 1'
_space_group_IT_number 1
_space_group_name_Hall 'P 1'
loop_
_atom_site_label
_atom_site_type_symbol
_atom_site_fract_x
_atom_site_fract_y
_atom_site_fract_z
_atom_site_occupancy
Sm1 Sm 0.0000 0.2500 0.5000 1
Sm2 Sm 0.0000 0.7500 0.5000 1
Sm3 Sm 0.2500 0.5000 0.0000 1
Sm4 Sm 0.5000 0.0000 0.2500 1
Sm5 Sm 0.5000 0.0000 0.7500 1
Sm6 Sm 0.7500 0.5000 0.0000 1
Ge1 Ge 0.0000 0.0000 0.0000 1
Ge2 Ge 0.0000 0.3066 0.1471 1
Ge3 Ge 0.0000 0.3066 0.8529 1
Ge4 Ge 0.0000 0.6934 0.1471 1
Ge5 Ge 0.0000 0.6934 0.8529 1
Ge6 Ge 0.1471 0.0000 0.3066 1
Ge7 Ge 0.1471 0.0000 0.6934 1
Ge8 Ge 0.1934 0.5000 0.3529 1
Ge9 Ge 0.1934 0.5000 0.6471 1
Ge10 Ge 0.3066 0.1471 0.0000 1
Ge11 Ge 0.3066 0.8529 0.0000 1
Ge12 Ge 0.3529 0.1934 0.5000 1
Ge13 Ge 0.3529 0.8066 0.5000 1
Ge14 Ge 0.5000 0.3529 0.1934 1
Ge15 Ge 0.5000 0.3529 0.8066 1
Ge16 Ge 0.5000 0.5000 0.5000 1
Ge17 Ge 0.5000 0.6471 0.1934 1
Ge18 Ge 0.5000 0.6471 0.8066 1
Ge19 Ge 0.6471 0.1934 0.5000 1
Ge20 Ge 0.6471 0.8066 0.5000 1
Ge21 Ge 0.6934 0.1471 0.0000 1
Ge22 Ge 0.6934 0.8529 0.0000 1
Ge23 Ge 0.8066 0.5000 0.3529 1
Ge24 Ge 0.8066 0.5000 0.6471 1
Ge25 Ge 0.8529 0.0000 0.3066 1
Ge26 Ge 0.8529 0.0000 0.6934 1
Rh1 Rh 0.2500 0.2500 0.2500 1
Rh2 Rh 0.2500 0.2500 0.7500 1
Rh3 Rh 0.2500 0.7500 0.2500 1
Rh4 Rh 0.2500 0.7500 0.7500 1
Rh5 Rh 0.7500 0.2500 0.2500 1
Rh6 Rh 0.7500 0.2500 0.7500 1
Rh7 Rh 0.7500 0.7500 0.2500 1
Rh8 Rh 0.7500 0.7500 0.7500 1
# Energy of formation from the pure elements in eV/f.u.: -12.17
# N(E_F) in states/eV per cell: 12.48
# Space group: Pm-3n (223)



> N(E_F) of number 2 (GeRh2)?

9.37 states/eV per cell